Below is crystalline LiAcTlH at its relaxed geometry, with properties calculated at the PBE-GGA level.

```
data_LiAcTlH
_chemical_formula_sum 'Li1 Ac1 Tl1 H1'
_cell_length_a 4.8210
_cell_length_b 4.8210
_cell_length_c 4.3532
_cell_angle_alpha 90.00
_cell_angle_beta 90.00
_cell_angle_gamma 120.00
_symmetry_space_group_name_H-M 'P 3 m 1'
_symmetry_Int_Tables_number 156
loop_
_symmetry_equiv_pos_as_xyz
'x,y,z'
'-y,x-y,z'
'-x+y,-x,z'
'-y,-x,z'
'-x+y,y,z'
'x,x-y,z'
loop_
_atom_site_label
_atom_site_type_symbol
_atom_site_fract_x
_atom_site_fract_y
_atom_site_fract_z
Li1 Li 0.0000 0.0000 0.0000
Ac1 Ac 0.3333 0.6667 0.5007
Tl1 Tl 0.6667 0.3333 0.0009
H1 H 0.0000 0.0000 0.5010
```

Summary:
The crystal system is trigonal. The spin magnetization comes out at 0.0 Bohr magnetons per cell. As for the uncorrected energy: -3.25 eV per atom.